1.
Below is a relaxed KAl2Br crystal, with properties calculated at the PBE-GGA level.

total energy	-21.8	eV/cell
energy relative to the lowest polymorph listed for this composition	0.131	eV/atom

a = 3.8612 Å, b = 4.5559 Å, c = 13.4754 Å
α = 90.00°, β = 90.00°, γ = 90.00°
With the nearest neighbours (Å) after each atom.
Space group Immm (No. 71)
Unique sites:
1 K 0.0000 0.0000 0.0000 x2  4 Br 2.99
2 Al 0.0000 0.5000 0.2450 x4  4 Al 2.99
3 Br 0.0000 0.0000 0.5000 x2  4 K 2.99

2.
Below is a relaxed KAlBr2 crystal, with properties calculated at the PBE-GGA level.

total energy	-46.2	eV/cell
energy relative to the lowest polymorph listed for this composition	0.114	eV/atom

a = 6.8793 Å, b = 6.8793 Å, c = 15.7937 Å
α = 90.00°, β = 90.00°, γ = 90.00°
With the nearest neighbours (Å) after each atom.
Space group I-42d (No. 122)
Unique sites:
1 K 0.0000 0.0000 0.0000 x4  4 Br 3.24
2 Al 0.0000 0.0000 0.5000 x4  4 Br 3.03
3 Br 0.2214 0.2500 0.6250 x8  2 Al 3.03, 2 K 3.24

3.
Below is a relaxed KAlBr2 crystal, with properties calculated at the PBE-GGA level.

total energy	-12.0	eV/cell
energy relative to the lowest polymorph listed for this composition	0.011	eV/atom

a = 4.5744 Å, b = 4.5744 Å, c = 6.6332 Å
α = 90.00°, β = 90.00°, γ = 90.00°
With the nearest neighbours (Å) after each atom.
Space group P4mm (No. 99)
Unique sites:
1 K 0.0000 0.0000 0.0000 x1  6 Br 3.30-3.32
2 Al 0.5000 0.5000 0.4911 x1  1 Br 2.70
3 Br 0.0000 0.0000 0.4988 x1  4 Al 3.23, 2 K 3.31-3.32
4 Br 0.5000 0.5000 0.8989 x1  1 Al 2.70

4.
Below is a relaxed KAlBr4 crystal, with properties calculated at the PBE-GGA level.

total energy	-79.4	eV/cell

a = 8.5962 Å, b = 10.3570 Å, c = 12.4882 Å
α = 90.00°, β = 122.13°, γ = 90.00°
With the nearest neighbours (Å) after each atom.
Space group P2_1/c (No. 14)
Unique sites:
1 K 0.2051 0.1753 0.3257 x4  8 Br 3.42-3.80
2 Al 0.3258 0.6750 0.2108 x4  4 Br 2.33
3 Br 0.1404 0.6425 0.6550 x4  1 Al 2.33
4 Br 0.2020 0.5201 0.2795 x4  1 Al 2.33
5 Br 0.3314 0.6098 0.0339 x4  1 Al 2.33
6 Br 0.3699 0.2178 0.1307 x4  1 Al 2.33

5.
Below is a relaxed K3AlBr6 crystal, with properties calculated at the PBE-GGA level.

total energy	-127.8	eV/cell

a = 13.3189 Å, b = 16.1996 Å, c = 8.0757 Å
α = 90.00°, β = 90.00°, γ = 90.00°
With the nearest neighbours (Å) after each atom.
Space group Cmc2_1 (No. 36)
Unique sites:
1 K 0.0000 0.0634 0.0000 x4  4 Br 3.23-3.27
2 K 0.2129 0.3996 0.0922 x8  2 Br 3.13-3.14
3 Al 0.0000 0.3071 0.7234 x4  4 Br 2.31-2.35
4 Br 0.0000 0.3112 0.4377 x4  1 Al 2.31
5 Br 0.0000 0.4394 0.8405 x4  1 Al 2.34
6 Br 0.1404 0.2372 0.8286 x8  1 Al 2.35
7 Br 0.1676 0.0370 0.2833 x8  4 K 3.13-3.27

6.
Below is a relaxed K2AlBr2 crystal, with properties calculated at the PBE-GGA level.

total energy	-26.2	eV/cell
energy relative to the lowest polymorph listed for this composition	0.000	eV/atom

a = 9.5323 Å, b = 9.5323 Å, c = 3.7902 Å
α = 90.00°, β = 90.00°, γ = 90.00°
With the nearest neighbours (Å) after each atom.
Space group P4/mbm (No. 127)
Unique sites:
1 K 0.1427 0.3573 0.0000 x4  6 Br 3.33-3.41, 2 Al 3.67
2 Al 0.0000 0.0000 0.0000 x2  4 K 3.67, 2 Al 3.79, 8 Br 4.08
3 Br 0.1540 0.6540 0.5000 x4  6 K 3.33-3.41

7.
Below is a relaxed KAlBr2 crystal, with properties calculated at the PBE-GGA level.

total energy	-11.6	eV/cell
energy relative to the lowest polymorph listed for this composition	0.104	eV/atom

a = 3.9771 Å, b = 3.9881 Å, c = 7.9287 Å
α = 90.00°, β = 97.42°, γ = 90.00°
With the nearest neighbours (Å) after each atom.
Space group P2/m (No. 10)
Unique sites:
1 K 0.0000 0.0000 0.0000 x1  8 Br 3.44-3.46
2 Al 0.0000 0.0000 0.5000 x1  4 Br 3.16
3 Br 0.4395 0.5000 0.7460 x2  2 Al 3.16, 4 K 3.44-3.46

8.
Below is a relaxed KAlBr4 crystal, with properties calculated at the PBE-GGA level.

total energy	-79.5	eV/cell

a = 9.1479 Å, b = 7.6796 Å, c = 13.4152 Å
α = 90.00°, β = 103.89°, γ = 90.00°
With the nearest neighbours (Å) after each atom.
Space group P2/c (No. 13)
Unique sites:
1 K 0.0000 0.0920 0.2500 x2  6 Br 3.42-3.50
2 K 0.5000 0.3637 0.7500 x2  8 Br 3.50-3.63
3 Al 0.2886 0.2131 0.0514 x4  4 Br 2.32-2.34
4 Br 0.1574 0.4100 0.1304 x4  1 Al 2.34
5 Br 0.2123 0.2459 0.8731 x4  1 Al 2.34
6 Br 0.2281 0.0674 0.5954 x4  1 Al 2.33
7 Br 0.4559 0.2715 0.3962 x4  1 Al 2.32

9.
Below is a relaxed KAlBr crystal, with properties calculated at the PBE-GGA level.

total energy	-26.2	eV/cell
energy relative to the lowest polymorph listed for this composition	0.311	eV/atom

a = 7.8597 Å, b = 7.8597 Å, c = 7.8597 Å
α = 90.00°, β = 90.00°, γ = 90.00°
With the nearest neighbours (Å) after each atom.
Space group F-43m (No. 216)
Unique sites:
1 K 0.0000 0.0000 0.0000 x4  4 Br 3.40, 4 Al 3.40
2 Al 0.2500 0.2500 0.2500 x4  4 K 3.40
3 Br 0.2500 0.2500 0.7500 x4  4 K 3.40

10.
Below is a relaxed KAlBr crystal, with properties calculated at the PBE-GGA level.

total energy	-28.0	eV/cell
energy relative to the lowest polymorph listed for this composition	0.159	eV/atom

a = 7.7184 Å, b = 7.7184 Å, c = 7.7184 Å
α = 90.00°, β = 90.00°, γ = 90.00°
With the nearest neighbours (Å) after each atom.
Space group F-43m (No. 216)
Unique sites:
1 K 0.0000 0.0000 0.0000 x4  4 Br 3.34
2 Al 0.0000 0.0000 0.5000 x4  4 Br 3.34
3 Br 0.2500 0.2500 0.7500 x4  4 K 3.34, 4 Al 3.34

11.
Below is a relaxed K2Al2Br crystal, with properties calculated at the PBE-GGA level.

total energy	-27.6	eV/cell
energy relative to the lowest polymorph listed for this composition	0.000	eV/atom

a = 3.9131 Å, b = 3.9131 Å, c = 20.4526 Å
α = 90.00°, β = 90.00°, γ = 90.00°
With the nearest neighbours (Å) after each atom.
Space group I4/mmm (No. 139)
Unique sites:
1 K 0.0000 0.0000 0.0967 x4  4 Br 3.40, 4 Al 3.70
2 Al 0.0000 0.5000 0.2500 x4  4 Al 2.77
3 Br 0.0000 0.0000 0.5000 x2  8 K 3.40

12.
Below is a relaxed KAl2Br crystal, with properties calculated at the PBE-GGA level.

total energy	-10.9	eV/cell
energy relative to the lowest polymorph listed for this composition	0.135	eV/atom

a = 3.8660 Å, b = 4.5029 Å, c = 7.3973 Å
α = 90.00°, β = 90.00°, γ = 90.00°
With the nearest neighbours (Å) after each atom.
Space group Pmmm (No. 47)
Unique sites:
1 K 0.0000 0.0000 0.0000 x1  4 Br 2.97
2 Al 0.0000 0.5000 0.5000 x1  4 Al 2.97
3 Al 0.5000 0.0000 0.5000 x1  4 Al 2.97
4 Br 0.5000 0.5000 0.0000 x1  4 K 2.97

13.
Below is a relaxed KAlBr4 crystal, with properties calculated at the PBE-GGA level.

total energy	-49.2	eV/cell

a = 9.3668 Å, b = 9.3668 Å, c = 9.3668 Å
α = 90.00°, β = 90.00°, γ = 90.00°
With the nearest neighbours (Å) after each atom.
Space group F-43m (No. 216)
Unique sites:
1 K 0.0000 0.0000 0.0000 x4  12 Br 3.88, 4 Al 4.06
2 Al 0.2500 0.2500 0.7500 x4  12 Br 3.88, 4 K 4.06
3 Br 0.1246 0.1246 0.3754 x16  6 Br 3.30-3.32

14.
Below is a relaxed KAl4Br crystal, with properties calculated at the PBE-GGA level.

total energy	-66.4	eV/cell

a = 8.3582 Å, b = 8.3582 Å, c = 8.3582 Å
α = 90.00°, β = 90.00°, γ = 90.00°
With the nearest neighbours (Å) after each atom.
Space group F-43m (No. 216)
Unique sites:
1 K 0.0000 0.0000 0.0000 x4  12 Al 3.46, 4 Br 3.62
2 Al 0.1267 0.1267 0.6267 x16  6 Al 2.91-3.00
3 Br 0.2500 0.2500 0.2500 x4  12 Al 3.47, 4 K 3.62

15.
Below is a relaxed KAl2Br crystal, with properties calculated at the PBE-GGA level.

total energy	-43.3	eV/cell
energy relative to the lowest polymorph listed for this composition	0.151	eV/atom

a = 4.5925 Å, b = 4.5925 Å, c = 23.7879 Å
α = 90.00°, β = 90.00°, γ = 90.00°
With the nearest neighbours (Å) after each atom.
Space group I-42d (No. 122)
Unique sites:
1 K 0.0000 0.0000 0.0000 x4  4 Br 3.25, 4 Al 3.60
2 Al 0.1362 0.2500 0.6250 x8  2 Al 2.61
3 Br 0.0000 0.0000 0.5000 x4  4 K 3.25, 4 Al 3.25

16.
Below is a relaxed KAl2Br8 crystal, with properties calculated at the PBE-GGA level.

total energy	-68.3	eV/cell
energy relative to the lowest polymorph listed for this composition	0.000	eV/atom

a = 11.1008 Å, b = 12.1609 Å, c = 7.7924 Å
α = 90.00°, β = 106.39°, γ = 90.00°
With the nearest neighbours (Å) after each atom.
Space group C2/m (No. 12)
Unique sites:
1 K 0.0000 0.0000 0.0000 x2  6 Br 3.40-3.43
2 Al 0.2469 0.0000 0.6887 x4  4 Br 2.30-2.40
3 Br 0.0282 0.5000 0.1964 x4  1 Al 2.40
4 Br 0.1650 0.1556 0.7817 x8  1 Al 2.30
5 Br 0.2404 0.0000 0.3888 x4  1 Al 2.32

17.
Below is a relaxed KAl2Br crystal, with properties calculated at the PBE-GGA level.

total energy	-11.3	eV/cell
energy relative to the lowest polymorph listed for this composition	0.035	eV/atom

a = 3.8716 Å, b = 3.8716 Å, c = 8.4946 Å
α = 90.00°, β = 90.00°, γ = 90.00°
With the nearest neighbours (Å) after each atom.
Space group P4mm (No. 99)
Unique sites:
1 K 0.0000 0.0000 0.0000 x1  4 Br 3.18
2 Al 0.0000 0.0000 0.4231 x1  4 Al 2.79
3 Al 0.5000 0.5000 0.4881 x1  1 Br 2.74, 4 Al 2.79
4 Br 0.5000 0.5000 0.8106 x1  1 Al 2.74

18.
Below is a relaxed KAlBr2 crystal, with properties calculated at the PBE-GGA level.

total energy	-24.0	eV/cell
energy relative to the lowest polymorph listed for this composition	0.000	eV/atom

a = 12.5538 Å, b = 4.3710 Å, c = 4.8638 Å
α = 90.00°, β = 90.96°, γ = 90.00°
With the nearest neighbours (Å) after each atom.
Space group Cm (No. 8)
Unique sites:
1 K 0.0000 0.0000 0.0000 x2  7 Br 3.37-3.63, 2 Al 3.73-3.74
2 Al 0.2741 0.5000 0.4922 x2  1 Br 2.59
3 Br 0.0676 0.5000 0.5052 x2  1 Al 2.59
4 Br 0.2725 0.0000 0.0858 x2  2 Al 2.95

19.
Below is a relaxed KAl2Br crystal, with properties calculated at the PBE-GGA level.

total energy	-19.8	eV/cell
energy relative to the lowest polymorph listed for this composition	0.388	eV/atom

a = 4.9218 Å, b = 4.9218 Å, c = 9.1190 Å
α = 90.00°, β = 90.00°, γ = 90.00°
With the nearest neighbours (Å) after each atom.
Space group I-4m2 (No. 119)
Unique sites:
1 K 0.0000 0.0000 0.0000 x2  4 Br 3.35, 8 Al 3.35-3.48
2 Al 0.0000 0.0000 0.5000 x2  4 Br 3.35, 4 Al 3.35, 4 K 3.48
3 Al 0.0000 0.5000 0.7500 x2  4 Al 3.35, 4 K 3.35, 4 Br 3.48
4 Br 0.0000 0.5000 0.2500 x2  4 K 3.35, 8 Al 3.35-3.48

20.
Below is a relaxed KAl2Br crystal, with properties calculated at the PBE-GGA level.

total energy	-27.8	eV/cell
energy relative to the lowest polymorph listed for this composition	0.538	eV/atom

a = 3.5538 Å, b = 3.5538 Å, c = 30.1685 Å
α = 90.00°, β = 90.00°, γ = 120.00°
With the nearest neighbours (Å) after each atom.
Space group R-3m (No. 166, hexagonal axes)
Unique sites:
1 K 0.0000 0.0000 0.0000 x3  6 Al 3.53, 6 K 3.55
2 Al 0.0000 0.0000 0.2382 x6  3 Br 2.98
3 Br 0.0000 0.0000 0.5000 x3  6 Al 2.98